Here is GaTcI2F after structural relaxation from Alexandria. Energies are from PBE-GGA.

Calculated values
Its formation energy without anion corrections is 0.5931 eV/atom. The total moment is 4.50 μB/cell.

Lattice parameters (Å, degrees): 5.475 5.475 5.168 90.00 90.00 90.00
Space group P4/mmm (No. 123)
Unique sites:
Ga 0.000 0.000 0.000 x1
Tc 0.000 0.000 0.500 x1
I 0.000 0.500 0.000 x2
F 0.500 0.500 0.500 x1